Compound: Cs2YFeO4
Source: Alexandria via LeMat-Bulk
Functional: PBE+U
Structure: relaxed

Properties
total magnetic moment = 40.00 Bohr magnetons per cell
calculated volume = 216 Å³/f.u.
VASP energy = -6.030 eV per atom

Cell: 5.698 13.035 23.251 Å, 90.00 90.00 90.00°
Space group Fddd (No. 70, origin choice 2)
Symmetry-distinct sites (fractional):
Cs1 0.125 0.125 0.306
Y1 0.125 0.125 0.125
Fe1 0.125 0.125 0.625
O1 0.098 0.290 0.835